[1]
## SrTaBe2 (GGA-PBEsol)

Data for a relaxed SrTaBe2 crystal.

a = 4.6001 Å, b = 4.6001 Å, c = 4.6001 Å
α = 60.00°, β = 60.00°, γ = 60.00°
With the nearest neighbours (Å) after each atom.
Fractional coordinates of all 4 atoms:
Sr 0.0000 0.0000 0.0000  8 Be 2.82
Ta 0.5000 0.5000 0.5000  8 Be 2.82
Be 0.2500 0.2500 0.2500  4 Ta 2.82, 4 Sr 2.82
Be 0.7500 0.7500 0.7500  4 Ta 2.82, 4 Sr 2.82

Values from the calculation:
**SG**: No. 225
**ΔH_f (0 K)**: 0.898 eV per atom
**Energy above the lowest structure with this stoichiometry**: 0 meV per atom
**Total magnetization**: 0.0 μB per formula unit

***

[2]
## ErCo12B6 (GGA-PBEsol)

Data for a relaxed ErCo12B6 crystal.

a = 5.8700 Å, b = 5.8700 Å, c = 5.8700 Å
α = 104.05°, β = 104.05°, γ = 104.05°
With the nearest neighbours (Å) after each atom.
Fractional coordinates of all 19 atoms:
Er 0.0000 0.0000 0.0000  6 B 2.98, 18 Co 3.02-3.18
Co 0.1319 0.5000 0.8681  4 B 1.99-2.01
Co 0.1319 0.8681 0.5000  4 B 1.99-2.01
Co 0.1856 0.4546 0.4546  3 B 2.07-2.09
Co 0.4546 0.1856 0.4546  3 B 2.07-2.09
Co 0.4546 0.4546 0.1856  3 B 2.07-2.09
Co 0.5000 0.1319 0.8681  4 B 1.99-2.01
Co 0.5000 0.8681 0.1319  4 B 1.99-2.01
Co 0.5454 0.5454 0.8144  3 B 2.07-2.09
Co 0.5454 0.8144 0.5454  3 B 2.07-2.09
Co 0.8144 0.5454 0.5454  3 B 2.07-2.09
Co 0.8681 0.1319 0.5000  4 B 1.99-2.01
Co 0.8681 0.5000 0.1319  4 B 1.99-2.01
B 0.2336 0.2336 0.6807  7 Co 1.99-2.09
B 0.2336 0.6807 0.2336  7 Co 1.99-2.09
B 0.3193 0.7664 0.7664  7 Co 1.99-2.09
B 0.6807 0.2336 0.2336  7 Co 1.99-2.09
B 0.7664 0.3193 0.7664  7 Co 1.99-2.09
B 0.7664 0.7664 0.3193  7 Co 1.99-2.09

Values from the calculation:
**SG**: No. 166
**ΔH_f (0 K)**: -0.410 eV per atom
**Total magnetization**: 6.3 μB per formula unit

***

no.,V (Å³/atom)
1,17.21
2,9.49